Entry 1:
Here is a relaxed V4CSe5 crystal from the Alexandria database. Energies are from PBE.

Cell: 7.8858 7.8858 6.9639 Å, 102.61 102.61 23.87°
With the nearest neighbours (Å) after each atom.
Atoms (fractional coordinates):
V: 0.0021 0.0021 0.3066  2 C 2.12
V: 0.3690 0.3690 0.4311  1 C 1.97
V: 0.6310 0.6310 0.5689  1 C 1.97
V: 0.9979 0.9979 0.6934  2 C 2.12
C: 0.5000 0.5000 0.5000  6 V 1.97-2.12
Se: 0.1581 0.1581 0.8388  3 V 2.45
Se: 0.1683 0.1683 0.3337  3 V 2.47-2.53
Se: 0.5000 0.5000 0.0000  4 V 2.68
Se: 0.8317 0.8317 0.6663  3 V 2.47-2.53
Se: 0.8419 0.8419 0.1612  3 V 2.45

For the density of states at the Fermi level, the calculation gives 5.43 states/eV/f.u. The calculation puts the volume at 17.08 Å³ per atom. The size of the total moment comes out at 0.000 μB per cell. The energy relative to the elements, uncorrected comes out at -0.64 eV per atom. The value obtained for the energy is -69.6 eV for the cell shown. As for the density: 5.94 Mg/m³.

=====

Entry 2:
Here is a relaxed VC2Se crystal from the Alexandria database. Energies are from PBE.

Cell: 4.7718 4.7718 9.2862 Å, 90.00 90.00 90.00°
With the nearest neighbours (Å) after each atom.
Atoms (fractional coordinates):
V: 0.0000 0.0000 0.0000  4 C 1.98
V: 0.0000 0.5000 0.2500  4 C 1.98
V: 0.5000 0.0000 0.7500  4 C 1.98
V: 0.5000 0.5000 0.5000  4 C 1.98
C: 0.2250 0.2500 0.1250  2 V 1.98, 2 Se 2.12
C: 0.2500 0.7250 0.3750  2 V 1.98, 2 Se 2.12
C: 0.2500 0.7750 0.8750  2 V 1.98, 2 Se 2.12
C: 0.2750 0.2500 0.6250  2 V 1.98, 2 Se 2.12
C: 0.7250 0.7500 0.6250  2 V 1.98, 2 Se 2.12
C: 0.7500 0.2250 0.8750  2 V 1.98, 2 Se 2.12
C: 0.7500 0.2750 0.3750  2 V 1.98, 2 Se 2.12
C: 0.7750 0.7500 0.1250  2 V 1.98, 2 Se 2.12
Se: 0.0000 0.0000 0.5000  4 C 2.12
Se: 0.0000 0.5000 0.7500  4 C 2.12
Se: 0.5000 0.0000 0.2500  4 C 2.12
Se: 0.5000 0.5000 0.0000  4 C 2.12

For the density of states at the Fermi level, the calculation gives 2.91 states/eV/f.u. The calculation puts the volume at 13.22 Å³ per atom. The size of the total moment comes out at 2.277 μB per cell. The energy relative to the elements, uncorrected comes out at 1.09 eV per atom. The value obtained for the energy is -106.8 eV for the cell shown. As for the density: 4.84 Mg/m³.

=====

Entry 3:
Here is a relaxed WCSe2 crystal from the Alexandria database. Energies are from PBE.

Cell: 5.3650 5.3650 9.9842 Å, 90.00 90.00 90.00°
With the nearest neighbours (Å) after each atom.
Atoms (fractional coordinates):
W: 0.0000 0.0000 0.0000  4 Se 2.43
W: 0.0000 0.5000 0.2500  4 Se 2.43
W: 0.5000 0.0000 0.7500  4 Se 2.43
W: 0.5000 0.5000 0.5000  4 Se 2.43
C: 0.0000 0.0000 0.5000  4 Se 2.13
C: 0.0000 0.5000 0.7500  4 Se 2.13
C: 0.5000 0.0000 0.2500  4 Se 2.13
C: 0.5000 0.5000 0.0000  4 Se 2.13
Se: 0.2011 0.2500 0.6250  2 C 2.13
Se: 0.2500 0.7011 0.8750  2 C 2.13
Se: 0.2500 0.7989 0.3750  2 C 2.13
Se: 0.2989 0.2500 0.1250  2 C 2.13
Se: 0.7011 0.7500 0.1250  2 C 2.13
Se: 0.7500 0.2011 0.3750  2 C 2.13
Se: 0.7500 0.2989 0.8750  2 C 2.13
Se: 0.7989 0.7500 0.6250  2 C 2.13

For the density of states at the Fermi level, the calculation gives 0.98 states/eV/f.u. The calculation puts the volume at 17.96 Å³ per atom. The size of the total moment comes out at 0.000 μB per cell. The energy relative to the elements, uncorrected comes out at 1.32 eV per atom. The value obtained for the energy is -95.4 eV for the cell shown. As for the density: 8.18 Mg/m³.

=====

Entry 4:
Here is a relaxed WC3Se crystal from the Alexandria database. Energies are from PBE.

Cell: 3.8159 3.8159 3.8159 Å, 90.00 90.00 90.00°
With the nearest neighbours (Å) after each atom.
Atoms (fractional coordinates):
W: 0.0000 0.0000 0.0000  12 C 2.70
C: 0.0000 0.5000 0.5000  2 Se 1.91
C: 0.5000 0.0000 0.5000  2 Se 1.91
C: 0.5000 0.5000 0.0000  2 Se 1.91
Se: 0.5000 0.5000 0.5000  6 C 1.91

For the density of states at the Fermi level, the calculation gives 4.75 states/eV/f.u. The calculation puts the volume at 11.11 Å³ per atom. The size of the total moment comes out at 0.002 μB per cell. The energy relative to the elements, uncorrected comes out at 2.96 eV per atom. The value obtained for the energy is -29.3 eV for the cell shown. As for the polymorph energy (0 for the lowest one): 4.00 eV per formula unit. As for the density: 8.93 Mg/m³.

=====

Entry 5:
Here is a relaxed WC3Se crystal from the Alexandria database. Energies are from PBE.

Cell: 4.1606 4.1606 4.1606 Å, 90.00 90.00 90.00°
With the nearest neighbours (Å) after each atom.
Atoms (fractional coordinates):
W: 0.0000 0.0000 0.0000  6 C 2.08
C: 0.0000 0.0000 0.5000  2 W 2.08
C: 0.0000 0.5000 0.0000  2 W 2.08
C: 0.5000 0.0000 0.0000  2 W 2.08
Se: 0.5000 0.5000 0.5000  12 C 2.94

For the density of states at the Fermi level, the calculation gives 4.43 states/eV/f.u. The calculation puts the volume at 14.40 Å³ per atom. The size of the total moment comes out at 0.000 μB per cell. The energy relative to the elements, uncorrected comes out at 2.16 eV per atom. The value obtained for the energy is -33.3 eV for the cell shown. As for the polymorph energy (0 for the lowest one): 0.00 eV per formula unit. As for the density: 6.89 Mg/m³.

=====

Entry 6:
Here is a relaxed W4CSe2 crystal from the Alexandria database. Energies are from PBE.

Cell: 4.2026 4.2026 12.4487 Å, 90.00 90.00 90.00°
With the nearest neighbours (Å) after each atom.
Atoms (fractional coordinates):
W: 0.0000 0.0000 0.1729  1 C 2.15
W: 0.0000 0.0000 0.8271  1 C 2.15
W: 0.0000 0.5000 0.0000  2 C 2.10
W: 0.0000 0.5000 0.5000  2 C 2.10
W: 0.5000 0.0000 0.0000  2 C 2.10
W: 0.5000 0.0000 0.5000  2 C 2.10
W: 0.5000 0.5000 0.3271  1 C 2.15
W: 0.5000 0.5000 0.6729  1 C 2.15
C: 0.0000 0.0000 0.0000  6 W 2.10-2.15
C: 0.5000 0.5000 0.5000  6 W 2.10-2.15
Se: 0.0000 0.0000 0.3695  5 W 2.45-2.66
Se: 0.0000 0.0000 0.6305  5 W 2.45-2.66
Se: 0.5000 0.5000 0.1305  5 W 2.45-2.66
Se: 0.5000 0.5000 0.8695  5 W 2.45-2.66

For the density of states at the Fermi level, the calculation gives 3.42 states/eV/f.u. The calculation puts the volume at 15.70 Å³ per atom. The size of the total moment comes out at 0.000 μB per cell. The energy relative to the elements, uncorrected comes out at 0.77 eV per atom. The value obtained for the energy is -125.3 eV for the cell shown. As for the density: 13.67 Mg/m³.